Rb2YPb2: optimized geometry, GGA-PBE.

Computed properties:
size of the total moment: 0.00 μB per cell
ΔH_f (0 K): 0.02 eV/atom
calculated density: 5.2 Mg/m³
space group: P4/mbm

Unit cell a=8.2011 b=8.2011 c=6.3741 alpha=90.00 beta=90.00 gamma=90.00
Positions (direct):
Pb 0.8579 0.6421 0.0000
Pb 0.6421 0.1421 0.0000
Pb 0.1421 0.3579 0.0000
Pb 0.3579 0.8579 0.0000
Y 0.5000 0.5000 0.0000
Y 0.0000 0.0000 0.0000
Rb 0.3350 0.1650 0.5000
Rb 0.6650 0.8350 0.5000
Rb 0.1650 0.6650 0.5000
Rb 0.8350 0.3350 0.5000